No. 1
The following is a PBE with a Hubbard U calculation of a relaxed structure of MnGaClF, from Alexandria.

It has space group Cm (No. 8), with a = 8.717 Å, b = 3.404 Å, c = 5.452 Å, α = 90.00°, β = 100.88° and γ = 90.00°. The distinct sites, in fractional coordinates, are Mn at (0.000, 0.000, 0.000), Ga at (0.117, 0.500, 0.546), Cl at (0.300, 0.000, 0.120) and F at (0.355, 0.500, 0.658).

For the energy relative to the lowest polymorph listed for this composition, the calculation gives 129 meV/atom. The value obtained for the density of states at the Fermi level is 3.7 states/eV/cell. As for the calculated density: 3.74 g/cm³. The total energy is -18.157 eV per formula unit.

***

No. 2
The following is a PBE with a Hubbard U calculation of a relaxed structure of MnGaClF, from Alexandria.

It has space group Cm (No. 8), with a = 6.526 Å, b = 3.249 Å, c = 7.942 Å, α = 90.00°, β = 97.48° and γ = 90.00°. The distinct sites, in fractional coordinates, are Mn at (0.000, 0.000, 0.000), Ga at (0.251, 0.000, 0.744), Cl at (0.345, 0.000, 0.190) and F at (0.222, 0.500, 0.582).

For the energy relative to the lowest polymorph listed for this composition, the calculation gives 80 meV/atom. The value obtained for the density of states at the Fermi level is 1.3 states/eV/cell. As for the calculated density: 3.56 g/cm³. The total energy is -18.354 eV per formula unit.

***

No. 3
The following is a PBE with a Hubbard U calculation of a relaxed structure of MnGaClF, from Alexandria.

It has space group P1 (No. 1), with a = 3.251 Å, b = 3.719 Å, c = 7.804 Å, α = 98.85°, β = 91.02° and γ = 115.87°. The distinct sites, in fractional coordinates, are Mn at (0.000, 0.000, 0.000), Ga at (0.655, 0.323, 0.748), Cl at (0.356, 0.696, 0.187) and F at (0.111, 0.246, 0.584).

For the energy relative to the lowest polymorph listed for this composition, the calculation gives 62 meV/atom. The value obtained for the density of states at the Fermi level is 0.9 states/eV/cell. As for the calculated density: 3.56 g/cm³. The total energy is -18.425 eV per formula unit.

***

No. 4
The following is a PBE with a Hubbard U calculation of a relaxed structure of MnGaClF, from Alexandria.

It has space group Imm2 (No. 44), with a = 3.527 Å, b = 4.074 Å, c = 11.056 Å, α = 90.00°, β = 90.00° and γ = 90.00°. The distinct sites, in fractional coordinates, are Mn at (0.000, 0.000, 0.000), Ga at (0.000, 0.500, 0.292), Cl at (0.000, 0.000, 0.525) and F at (0.000, 0.000, 0.188).

For the energy relative to the lowest polymorph listed for this composition, the calculation gives 53 meV/atom. The value obtained for the density of states at the Fermi level is 1.0 states/eV/cell. As for the calculated density: 3.74 g/cm³. The total energy is -18.465 eV per formula unit.

***

No. 5
The following is a PBE with a Hubbard U calculation of a relaxed structure of MnGa2Cl6F2, from Alexandria.

It has space group P-3 (No. 147), with a = 6.3604 Å, b = 6.3604 Å, c = 8.2784 Å, α = 90.00°, β = 90.00° and γ = 120.00°. The distinct sites, in fractional coordinates, are Mn at (0.0000, 0.0000, 0.0000), Ga at (0.3333, 0.6667, 0.7281), Cl at (0.0064, 0.6757, 0.8156) and F at (0.3333, 0.6667, 0.5153).

The value obtained for the density of states at the Fermi level is 0.0 states/eV/cell. As for the calculated density: 2.55 g/cm³. The total energy is -44.441 eV per formula unit.

***

No. 6
The following is a PBE with a Hubbard U calculation of a relaxed structure of MnGaClF, from Alexandria.

It has space group Cm (No. 8), with a = 10.425 Å, b = 3.736 Å, c = 5.580 Å, α = 90.00°, β = 115.19° and γ = 90.00°. The distinct sites, in fractional coordinates, are Mn at (0.000, 0.000, 0.000), Ga at (0.112, 0.500, 0.796), Cl at (0.474, 0.000, 0.288) and F at (0.287, 0.500, 0.753).

For the energy relative to the lowest polymorph listed for this composition, the calculation gives 0 meV/atom. The value obtained for the density of states at the Fermi level is 1.8 states/eV/cell. As for the calculated density: 3.02 g/cm³. The total energy is -18.675 eV per formula unit.